Entry from Alexandria via LeMat-Bulk: a geometry-optimized Hg3Cl structure (GGA-PBE).

a = 7.513 Å, b = 7.513 Å, c = 7.513 Å
α = 90.00°, β = 90.00°, γ = 90.00°
Space group Fm-3m (No. 225)
Symmetry-distinct sites (fractional):
Hg1 0.000 0.000 0.000
Hg2 0.250 0.250 0.250
Cl1 0.000 0.000 0.500

- raw formation energy (meV per atom) = -75
- V (Å³/atom) = 26.50
- electronic total energy (eV/atom) = -0.7632
- calculated density (g/cm³) = 9.98
- magnetic moment (μB/f.u.) = 0.0
- polymorph energy (0 for the lowest one) (meV/atom) = 139

Entry from Alexandria via LeMat-Bulk: a geometry-optimized HoHg2Cl8 structure (GGA-PBE).

a = 13.732 Å, b = 8.570 Å, c = 6.502 Å
α = 90.00°, β = 103.45°, γ = 90.00°
Space group C2/m (No. 12)
Symmetry-distinct sites (fractional):
Ho1 0.000 0.000 0.000
Hg1 0.205 0.000 0.709
Cl1 0.085 0.209 0.792
Cl2 0.117 0.500 0.187
Cl3 0.169 0.000 0.291

- raw formation energy (meV per atom) = -1016
- V (Å³/atom) = 33.82
- electronic total energy (eV/atom) = -2.8305
- calculated density (g/cm³) = 3.79
- magnetic moment (μB/f.u.) = 1.0

Entry from Alexandria via LeMat-Bulk: a geometry-optimized KHoHg2Cl8 structure (GGA-PBE).

a = 6.666 Å, b = 6.765 Å, c = 8.889 Å
α = 82.20°, β = 75.23°, γ = 87.82°
Space group P-1 (No. 2)
Symmetry-distinct sites (fractional):
K1 0.000 0.000 0.000
Ho1 0.000 0.000 0.500
Hg1 0.468 0.476 0.237
Cl1 0.201 0.820 0.693
Cl2 0.239 0.332 0.478
Cl3 0.252 0.863 0.259
Cl4 0.268 0.390 0.986

- raw formation energy (meV per atom) = -1361
- V (Å³/atom) = 32.00
- electronic total energy (eV/atom) = -3.1149
- calculated density (g/cm³) = 3.84
- magnetic moment (μB/f.u.) = 0.0

Entry from Alexandria via LeMat-Bulk: a geometry-optimized LiHoHgCl6 structure (GGA-PBE).

a = 6.6837 Å, b = 6.6837 Å, c = 12.0704 Å
α = 90.00°, β = 90.00°, γ = 120.00°
Space group P-31c (No. 163)
Symmetry-distinct sites (fractional):
Li1 0.0000 0.0000 0.0000
Ho1 0.3333 0.6667 0.2500
Hg1 0.3333 0.6667 0.7500
Cl1 0.0088 0.3405 0.1250

- raw formation energy (meV per atom) = -1564
- V (Å³/atom) = 25.94
- electronic total energy (eV/atom) = -3.5498
- calculated density (g/cm³) = 4.16
- magnetic moment (μB/f.u.) = 0.0

Entry from Alexandria via LeMat-Bulk: a geometry-optimized NaHoHgCl6 structure (GGA-PBE).

a = 6.8373 Å, b = 6.8373 Å, c = 12.6750 Å
α = 90.00°, β = 90.00°, γ = 120.00°
Space group P-31c (No. 163)
Symmetry-distinct sites (fractional):
Na1 0.0000 0.0000 0.0000
Ho1 0.3333 0.6667 0.2500
Hg1 0.3333 0.6667 0.7500
Cl1 0.0085 0.3569 0.1305

- raw formation energy (meV per atom) = -1596
- V (Å³/atom) = 28.51
- electronic total energy (eV/atom) = -3.5160
- calculated density (g/cm³) = 3.89
- magnetic moment (μB/f.u.) = 0.0

Entry from Alexandria via LeMat-Bulk: a geometry-optimized RbHoHgCl6 structure (GGA-PBE).

a = 7.0184 Å, b = 7.0184 Å, c = 14.4764 Å
α = 90.00°, β = 90.00°, γ = 120.00°
Space group P-31c (No. 163)
Symmetry-distinct sites (fractional):
Rb1 0.0000 0.0000 0.0000
Ho1 0.3333 0.6667 0.2500
Hg1 0.3333 0.6667 0.7500
Cl1 0.0083 0.3815 0.1435

- raw formation energy (meV per atom) = -1667
- V (Å³/atom) = 34.31
- electronic total energy (eV/atom) = -3.5477
- calculated density (g/cm³) = 3.57
- magnetic moment (μB/f.u.) = 0.0

Entry from Alexandria via LeMat-Bulk: a geometry-optimized HgI2Cl structure (GGA-PBE).

a = 7.288 Å, b = 3.446 Å, c = 7.917 Å
α = 90.00°, β = 115.10°, γ = 90.00°
Space group Pm (No. 6)
Symmetry-distinct sites (fractional):
Hg1 0.000 0.000 0.000
I1 0.621 0.000 0.691
I2 0.972 0.000 0.343
Cl1 0.251 0.500 0.978

- raw formation energy (meV per atom) = -225
- V (Å³/atom) = 45.02
- electronic total energy (eV/atom) = -1.5370
- calculated density (g/cm³) = 4.52
- magnetic moment (μB/f.u.) = 0.0
- polymorph energy (0 for the lowest one) (meV/atom) = 86

Entry from Alexandria via LeMat-Bulk: a geometry-optimized Hg5I4Cl3 structure (GGA-PBE).

a = 5.362 Å, b = 6.721 Å, c = 13.004 Å
α = 77.57°, β = 78.85°, γ = 66.97°
Space group P-1 (No. 2)
Symmetry-distinct sites (fractional):
Hg1 0.000 0.000 0.000
Hg2 0.383 0.488 0.731
Hg3 0.400 0.891 0.344
I1 0.155 0.263 0.439
I2 0.157 0.580 0.110
Cl1 0.177 0.869 0.774
Cl2 0.500 0.000 0.000

- raw formation energy (meV per atom) = -286
- V (Å³/atom) = 34.83
- electronic total energy (eV/atom) = -1.3899
- calculated density (g/cm³) = 6.42
- magnetic moment (μB/f.u.) = 0.0

Entry from Alexandria via LeMat-Bulk: a geometry-optimized Hg12I3Cl5 structure (GGA-PBE).

a = 18.218 Å, b = 18.218 Å, c = 18.218 Å
α = 90.00°, β = 90.00°, γ = 90.00°
Space group Ia-3d (No. 230)
Symmetry-distinct sites (fractional):
Hg1 0.055 0.081 0.632
I1 0.000 0.250 0.125
Cl1 0.000 0.000 0.000
Cl2 0.000 0.250 0.375

- raw formation energy (meV per atom) = -29
- V (Å³/atom) = 37.79
- electronic total energy (eV/atom) = -0.9041
- calculated density (g/cm³) = 6.51
- magnetic moment (μB/f.u.) = 0.0

Entry from Alexandria via LeMat-Bulk: a geometry-optimized Hg2ICl structure (GGA-PBE).

a = 7.623 Å, b = 7.623 Å, c = 7.623 Å
α = 90.00°, β = 90.00°, γ = 90.00°
Space group Fm-3m (No. 225)
Symmetry-distinct sites (fractional):
Hg1 0.250 0.250 0.250
I1 0.000 0.000 0.000
Cl1 0.000 0.000 0.500

- raw formation energy (meV per atom) = -62
- V (Å³/atom) = 27.68
- electronic total energy (eV/atom) = -1.0620
- calculated density (g/cm³) = 8.45
- magnetic moment (μB/f.u.) = 0.0
- polymorph energy (0 for the lowest one) (meV/atom) = 13

Entry from Alexandria via LeMat-Bulk: a geometry-optimized HgICl2 structure (GGA-PBE).

a = 5.585 Å, b = 6.479 Å, c = 10.365 Å
α = 88.90°, β = 89.00°, γ = 89.89°
Space group P1 (No. 1)
Symmetry-distinct sites (fractional):
Hg1 0.000 0.000 0.000
Hg2 0.499 0.498 0.992
I1 0.514 0.219 0.534
I2 0.990 0.281 0.457
Cl1 0.005 0.288 0.863
Cl2 0.495 0.210 0.129
Cl3 0.504 0.788 0.856
Cl4 0.996 0.710 0.135

- raw formation energy (meV per atom) = -430
- V (Å³/atom) = 46.87
- electronic total energy (eV/atom) = -1.8164
- calculated density (g/cm³) = 3.53
- magnetic moment (μB/f.u.) = 0.0
- polymorph energy (0 for the lowest one) (meV/atom) = 0

Entry from Alexandria via LeMat-Bulk: a geometry-optimized HgICl2 structure (GGA-PBE).

a = 3.492 Å, b = 10.962 Å, c = 7.434 Å
α = 90.00°, β = 90.37°, γ = 90.00°
Space group P2_1/m (No. 11)
Symmetry-distinct sites (fractional):
Hg1 0.247 0.250 0.337
I1 0.252 0.250 0.746
Cl1 0.254 0.582 0.730

- raw formation energy (meV per atom) = -254
- V (Å³/atom) = 35.57
- electronic total energy (eV/atom) = -1.6405
- calculated density (g/cm³) = 4.65
- magnetic moment (μB/f.u.) = 0.0
- polymorph energy (0 for the lowest one) (meV/atom) = 176